1.
{"formula": "Co2CuNi", "functional": "meta-GGA SCAN", "state": "PBEsol geometry", "lattice": [[-0.851, -1.593, 1.674], [2.289, -0.340, 0.841], [-0.884, 5.222, 4.521]], "species": ["Ni", "Co", "Co", "Cu"], "frac_coords": [[0.500, 0.500, 0.757], [0.000, 0.000, 0.002], [0.500, 0.500, 0.241], [0.000, 0.000, 0.501]], "magnetic_moment_mub_per_cell": 4.19, "vol_a3_per_cell": 42.2, "delta_e_f_ev_per_atom": 0.05, "polymorph_energy_ev_per_atom": 0.0000}


2.
{"formula": "In2FeTe", "functional": "meta-GGA SCAN", "state": "PBEsol geometry", "lattice": [[-0.611, -3.455, 1.492], [4.140, -0.958, -0.991], [-0.177, 4.028, 4.621]], "species": ["Fe", "In", "In", "Te"], "frac_coords": [[0.000, 0.500, 0.000], [0.000, 0.000, 0.500], [0.500, 0.500, 0.500], [0.500, 0.000, 0.000]], "magnetic_moment_mub_per_cell": 3.18, "vol_a3_per_cell": 90.4, "e_form_raw_ev_per_atom": 0.257}